# CoTcSb

A relaxed CoTcSb crystal (PBE-GGA, the Open Quantum Materials Database).

Lattice parameters (Å, degrees): 5.8911 5.8911 5.8911 90.00 90.00 90.00
Space group F-43m (No. 216)
Symmetry-distinct sites (fractional):
Co  0.0000  0.0000  0.0000 x4
Tc  0.2500  0.2500  0.2500 x4
Sb  0.2500  0.2500  0.7500 x4

Output
energy relative to the lowest polymorph listed for this composition: 0.0 kJ/mol of formula units